Entry 1:
Computed, not measured: a relaxed TiMn3C crystal at the GGA-PBE level of DFT.

Unit cell a=3.8188 b=3.8188 c=3.8188 alpha=90.00 beta=90.00 gamma=90.00
With the nearest neighbours (Å) after each atom.
Space group Pm-3m (No. 221)
One atom of each set of equivalent atoms:
Ti 0.0000 0.0000 0.0000 x1  12 Mn 2.70
Mn 0.0000 0.5000 0.5000 x3  2 C 1.91
C 0.5000 0.5000 0.5000 x1  6 Mn 1.91

As for the crystal system: cubic. The calculation puts the formation energy at -195 meV per atom. The energy above the lowest structure with this stoichiometry comes out at 0 meV per atom.

Entry 2:
Computed, not measured: a relaxed BeTl3 crystal at the GGA-PBE level of DFT.

Unit cell a=7.5172 b=7.5172 c=7.5172 alpha=90.00 beta=90.00 gamma=90.00
With the nearest neighbours (Å) after each atom.
Space group Fm-3m (No. 225)
One atom of each set of equivalent atoms:
Be 0.0000 0.0000 0.0000 x4  8 Tl 3.26
Tl 0.0000 0.0000 0.5000 x4  8 Tl 3.26
Tl 0.2500 0.2500 0.2500 x8  4 Tl 3.26, 4 Be 3.26

As for the crystal system: cubic. The calculation puts the formation energy at 585 meV per atom. The energy above the lowest structure with this stoichiometry comes out at 267 meV per atom.

Entry 3:
Computed, not measured: a relaxed Tb8SnBi3Te4 crystal at the GGA-PBE level of DFT.

Unit cell a=8.8823 b=8.8823 c=21.6299 alpha=90.00 beta=90.00 gamma=120.00
With the nearest neighbours (Å) after each atom.
Space group R-3m (No. 166, hexagonal axes)
One atom of each set of equivalent atoms:
Tb 0.0000 0.0000 0.2492 x6  3 Bi 3.12, 3 Te 3.14
Tb 0.0072 0.5036 0.2477 x18  1 Sn 3.06, 2 Bi 3.13, 3 Te 3.14-3.21
Sn 0.0000 0.0000 0.5000 x3  6 Tb 3.06
Bi 0.0000 0.5000 0.5000 x9  6 Tb 3.12-3.13
Te 0.0000 0.0000 0.0000 x3  6 Tb 3.21
Te 0.0000 0.5000 0.0000 x9  6 Tb 3.14

As for the crystal system: trigonal. The value obtained for the uncorrected formation energy is -1.112 eV/atom.

Entry 4:
Computed, not measured: a relaxed Cu2TcAu crystal at the GGA-PBE level of DFT.

Unit cell a=3.9161 b=3.9161 c=7.5520 alpha=90.00 beta=90.00 gamma=90.00
With the nearest neighbours (Å) after each atom.
Space group I-4m2 (No. 119)
One atom of each set of equivalent atoms:
Cu 0.0000 0.0000 0.0000 x2  4 Tc 2.72, 4 Cu 2.72, 4 Au 2.77
Cu 0.0000 0.5000 0.2500 x2  4 Cu 2.72, 4 Au 2.72, 4 Tc 2.77
Tc 0.0000 0.5000 0.7500 x2  8 Cu 2.72-2.77, 4 Au 2.72
Au 0.0000 0.0000 0.5000 x2  4 Tc 2.72, 8 Cu 2.72-2.77

As for the crystal system: tetragonal. The calculation puts the formation energy at 368 meV per atom. The energy above the lowest structure with this stoichiometry comes out at 205 meV per atom.

Entry 5:
Computed, not measured: a relaxed LaCdOs4 crystal at the GGA-PBE level of DFT.

Unit cell a=7.6184 b=7.6184 c=7.6184 alpha=90.00 beta=90.00 gamma=90.00
With the nearest neighbours (Å) after each atom.
Space group F-43m (No. 216)
One atom of each set of equivalent atoms:
La 0.0000 0.0000 0.0000 x4  12 Os 3.16, 4 Cd 3.30
Cd 0.2500 0.2500 0.2500 x4  12 Os 3.16, 4 La 3.30
Os 0.1245 0.1245 0.6245 x16  6 Os 2.68-2.71

As for the crystal system: cubic. The calculation puts the formation energy at 303 meV per atom.

Entry 6:
Computed, not measured: a relaxed In2Ga2Cl7 crystal at the GGA-PBE level of DFT.

Unit cell a=10.1021 b=11.9221 c=6.5880 alpha=90.00 beta=99.83 gamma=90.00
With the nearest neighbours (Å) after each atom.
Space group C2/m (No. 12)
One atom of each set of equivalent atoms:
In 0.0000 0.2089 0.0000 x4  6 Cl 3.15-3.37
Ga 0.2290 0.5000 0.4372 x4  4 Cl 2.27-2.42
Cl 0.0000 0.5000 0.5000 x2  2 Ga 2.42
Cl 0.1272 0.0000 0.2539 x4  1 Ga 2.29
Cl 0.2309 0.1550 0.7427 x8  1 Ga 2.27

As for the crystal system: monoclinic. The value obtained for the uncorrected formation energy is -0.918 eV/atom.

Entry 7:
Computed, not measured: a relaxed LiGdSiPt crystal at the GGA-PBE level of DFT.

Unit cell a=6.5062 b=6.5062 c=6.5062 alpha=90.00 beta=90.00 gamma=90.00
With the nearest neighbours (Å) after each atom.
Space group F-43m (No. 216)
One atom of each set of equivalent atoms:
Li 0.0000 0.0000 0.0000 x4  4 Si 2.82, 4 Gd 2.82
Gd 0.2500 0.2500 0.7500 x4  4 Li 2.82, 4 Pt 2.82
Si 0.2500 0.2500 0.2500 x4  4 Pt 2.82, 4 Li 2.82
Pt 0.0000 0.0000 0.5000 x4  4 Gd 2.82, 4 Si 2.82

As for the crystal system: cubic. The value obtained for the uncorrected formation energy is -0.770 eV/atom.

Entry 8:
Computed, not measured: a relaxed La2NiP3 crystal at the GGA-PBE level of DFT.

Unit cell a=8.0171 b=8.8363 c=14.0859 alpha=90.00 beta=90.00 gamma=90.00
With the nearest neighbours (Å) after each atom.
Space group Fmmm (No. 69)
One atom of each set of equivalent atoms:
La 0.2263 0.0000 0.0000 x8  10 P 3.08-3.33, 2 Ni 3.15
La 0.2500 0.2500 0.2500 x8  8 P 3.12-3.15, 4 Ni 3.24
Ni 0.0000 0.0000 0.3397 x8  3 P 2.17-2.18
P 0.0000 0.0000 0.1856 x8  1 Ni 2.17
P 0.0000 0.2100 0.4208 x16  1 Ni 2.18, 1 P 2.23

As for the crystal system: orthorhombic. The calculation puts the formation energy at -1085 meV per atom.

Entry 9:
Computed, not measured: a relaxed Ag3SbO4 crystal at the GGA-PBE level of DFT.

Unit cell a=7.2549 b=7.2549 c=8.8914 alpha=90.00 beta=90.00 gamma=90.00
With the nearest neighbours (Å) after each atom.
Space group P4_122 (No. 91)
One atom of each set of equivalent atoms:
Ag 0.0000 0.1754 0.0000 x4  2 O 2.31
Ag 0.0000 0.2654 0.5000 x4  2 O 2.18
Ag 0.2010 0.5000 0.2500 x4  6 O 2.52-2.69
Sb 0.2803 0.5000 0.7500 x4  6 O 2.00-2.06
O 0.0861 0.3048 0.7332 x8  1 Sb 2.00, 1 Ag 2.18
O 0.3044 0.4849 0.9793 x8  2 Sb 2.05-2.06

As for the crystal system: tetragonal. The energy above the lowest structure with this stoichiometry comes out at 0 meV per atom. The value obtained for the uncorrected formation energy is -0.644 eV/atom.

Entry 10:
Computed, not measured: a relaxed CaInH6Rh2 crystal at the GGA-PBE level of DFT.

Unit cell a=4.6314 b=4.6314 c=16.6605 alpha=90.00 beta=90.00 gamma=120.00
With the nearest neighbours (Å) after each atom.
Space group R-3m (No. 166, hexagonal axes)
One atom of each set of equivalent atoms:
Ca 0.0000 0.0000 0.0000 x3  12 H 2.49
In 0.0000 0.0000 0.5000 x3  6 H 2.37
H 0.0341 0.5170 0.9449 x18  1 Rh 1.62
Rh 0.0000 0.0000 0.2132 x6  3 H 1.62

As for the crystal system: trigonal. The total energy comes out at -4.24 eV/atom.

Entry 11:
Computed, not measured: a relaxed BaNp2Cd2O7 crystal at the GGA-PBE level of DFT.

Unit cell a=25.0502 b=4.2977 c=4.2632 alpha=90.00 beta=90.44 gamma=90.00
With the nearest neighbours (Å) after each atom.
Space group C2/m (No. 12)
One atom of each set of equivalent atoms:
Ba 0.0000 0.0000 0.0000 x2  12 O 2.89-3.03
Np 0.0884 0.5000 0.5038 x4  6 O 2.01-2.21
Cd 0.2127 0.5000 0.0218 x4  2 O 2.35-2.45
O 0.0000 0.5000 0.5000 x2  2 Np 2.21
O 0.0778 0.0000 0.5033 x4  2 Np 2.16
O 0.0798 0.5000 0.0036 x4  2 Np 2.14
O 0.1685 0.5000 0.5067 x4  1 Np 2.01

As for the crystal system: monoclinic. The value obtained for the uncorrected formation energy is -2.346 eV/atom.

Entry 12:
Computed, not measured: a relaxed SnSI2N crystal at the GGA-PBE level of DFT.

Unit cell a=6.5108 b=6.5108 c=3.3776 alpha=90.00 beta=90.00 gamma=90.00
With the nearest neighbours (Å) after each atom.
Space group P4/mmm (No. 123)
One atom of each set of equivalent atoms:
Sn 0.0000 0.0000 0.0000 x1  2 Sn 3.38, 8 I 3.67
S 0.5000 0.5000 0.5000 x1  2 N 1.69
I 0.0000 0.5000 0.5000 x2  2 S 3.26, 2 I 3.38
N 0.5000 0.5000 0.0000 x1  2 S 1.69

As for the crystal system: tetragonal. The energy above the lowest structure with this stoichiometry comes out at 0 meV per atom. The value obtained for the uncorrected formation energy is 0.657 eV/atom.

Entry 13:
Computed, not measured: a relaxed CsLi2MnI6 crystal at the GGA-PBE level of DFT.

Unit cell a=15.8881 b=14.8170 c=8.5633 alpha=90.00 beta=110.30 gamma=90.00
With the nearest neighbours (Å) after each atom.
Space group C2/c (No. 15)
One atom of each set of equivalent atoms:
Cs 0.0000 0.1702 0.2500 x4  8 I 3.98-4.24, 2 Mn 4.28, 2 Li 4.35
Li 0.0683 0.4394 0.1281 x8  4 I 2.75-2.94, 1 Li 3.07
Mn 0.0000 0.1793 0.7500 x4  4 I 2.58-2.59
I 0.1154 0.0678 0.7084 x8  1 Mn 2.58
I 0.1148 0.2867 0.9553 x8  1 Mn 2.59
I 0.1171 0.4177 0.4670 x8  3 Li 2.75-2.79

As for the crystal system: monoclinic. The value obtained for the uncorrected formation energy is -0.879 eV/atom.

Entry 14:
Computed, not measured: a relaxed Li4CeDy crystal at the GGA-PBE level of DFT.

Unit cell a=8.2906 b=8.2906 c=8.2906 alpha=90.00 beta=90.00 gamma=90.00
With the nearest neighbours (Å) after each atom.
Space group F-43m (No. 216)
One atom of each set of equivalent atoms:
Li 0.1242 0.1242 0.1242 x16  6 Li 2.91-2.95
Ce 0.0000 0.0000 0.5000 x4  12 Li 3.44, 4 Dy 3.59
Dy 0.2500 0.2500 0.7500 x4  12 Li 3.44, 4 Ce 3.59

As for the crystal system: cubic. The calculation puts the formation energy at 186 meV per atom.

Entry 15:
Computed, not measured: a relaxed SiNi crystal at the GGA-PBE level of DFT.

Unit cell a=8.5542 b=2.8095 c=6.0370 alpha=90.00 beta=106.26 gamma=90.00
With the nearest neighbours (Å) after each atom.
Space group Cm (No. 8)
One atom of each set of equivalent atoms:
Si 0.0000 0.0000 0.0000 x2  7 Ni 2.35-2.49, 1 Si 2.59
Si 0.0723 0.0000 0.6113 x2  7 Ni 2.36-2.45, 1 Si 2.59
Si 0.3495 0.0000 0.2610 x2  6 Ni 2.39-2.42
Ni 0.1375 0.5000 0.3212 x2  7 Si 2.39-2.43, 1 Ni 2.59
Ni 0.2160 0.5000 0.9376 x2  7 Si 2.35-2.45, 1 Ni 2.59
Ni 0.3563 0.0000 0.6641 x2  6 Si 2.36-2.49

As for the crystal system: monoclinic. The value obtained for the uncorrected formation energy is -0.354 eV/atom.

Entry 16:
Computed, not measured: a relaxed LuTh2H crystal at the GGA-PBE level of DFT.

Unit cell a=3.3775 b=3.3775 c=8.5452 alpha=90.00 beta=90.00 gamma=90.00
With the nearest neighbours (Å) after each atom.
Space group P4/mmm (No. 123)
One atom of each set of equivalent atoms:
Lu 0.0000 0.0000 0.0000 x1  4 Lu 3.38, 8 Th 3.60
Th 0.5000 0.5000 0.3146 x2  4 H 2.87, 1 Th 3.17
H 0.0000 0.0000 0.5000 x1  8 Th 2.87

As for the crystal system: tetragonal. The energy above the lowest structure with this stoichiometry comes out at 76 meV per atom.

Entry 17:
Computed, not measured: a relaxed Mn2MoIr crystal at the GGA-PBE level of DFT.

Unit cell a=4.0740 b=2.6632 c=9.7444 alpha=90.00 beta=90.00 gamma=90.00
With the nearest neighbours (Å) after each atom.
Space group Amm2 (No. 38)
One atom of each set of equivalent atoms:
Mn 0.0000 0.0000 0.0000 x2  2 Mn 2.31, 1 Mo 2.55
Mn 0.5000 0.0000 0.1119 x2  2 Mn 2.31
Mo 0.0000 0.0000 0.7384 x2  7 Mn 2.55-2.73, 2 Mo 2.66, 4 Ir 2.82
Ir 0.5000 0.0000 0.3837 x2  7 Mn 2.59-2.68, 2 Ir 2.66, 4 Mo 2.82

As for the crystal system: orthorhombic. The calculation puts the formation energy at -34 meV per atom.

Entry 18:
Computed, not measured: a relaxed FeSiW crystal at the GGA-PBE level of DFT.

Unit cell a=2.7904 b=2.7904 c=9.6595 alpha=90.00 beta=90.00 gamma=90.00
With the nearest neighbours (Å) after each atom.
Space group I4mm (No. 107)
One atom of each set of equivalent atoms:
Fe 0.0000 0.0000 0.0000 x2  4 Si 2.34
Si 0.0000 0.0000 0.6295 x2  4 Fe 2.34
W 0.0000 0.0000 0.3167 x2  4 Fe 2.65, 4 Si 2.68, 4 W 2.79

As for the crystal system: tetragonal. The energy above the lowest structure with this stoichiometry comes out at 97 meV per atom. The value obtained for the uncorrected formation energy is -0.212 eV/atom.

Entry 19:
Computed, not measured: a relaxed NaNd2NbO6 crystal at the GGA-PBE level of DFT.

Unit cell a=5.8387 b=5.8387 c=14.9644 alpha=90.00 beta=90.00 gamma=120.00
With the nearest neighbours (Å) after each atom.
Space group R3 (No. 146, hexagonal axes)
One atom of each set of equivalent atoms:
Na 0.0000 0.0000 0.0000 x3  6 O 2.33-2.54
Nd 0.0000 0.0000 0.2740 x3  6 O 2.41
Nd 0.0000 0.0000 0.7735 x3  6 O 2.29-2.52
Nb 0.0000 0.0000 0.4891 x3  6 O 1.98-2.09
O 0.0144 0.3943 0.2187 x9  1 Nb 1.98
O 0.0698 0.6753 0.0628 x9  1 Nb 2.09, 1 Nd 2.29, 1 Na 2.33

As for the crystal system: trigonal. The value obtained for the uncorrected formation energy is -2.884 eV/atom.

Entry 20:
Computed, not measured: a relaxed BaTaIn2 crystal at the GGA-PBE level of DFT.

Unit cell a=4.9845 b=5.0079 c=8.7552 alpha=90.00 beta=90.00 gamma=90.00
With the nearest neighbours (Å) after each atom.
Space group Immm (No. 71)
One atom of each set of equivalent atoms:
Ba 0.0000 0.0000 0.0000 x2  8 In 3.32, 4 Ta 3.53
Ta 0.0000 0.0000 0.5000 x2  8 In 3.31-3.33, 4 Ba 3.53
In 0.0000 0.5000 0.2494 x4  4 Ta 3.31-3.33, 4 Ba 3.32, 4 In 3.53

As for the crystal system: orthorhombic. The calculation puts the formation energy at 491 meV per atom. The energy above the lowest structure with this stoichiometry comes out at 327 meV per atom.